{"formula": "Zn2FeCu", "functional": "PBE", "state": "optimized geometry", "cell": [[3.785, 0.000, 0.000], [0.000, 3.785, 0.000], [0.000, 0.000, 3.574]], "species": ["Zn", "Zn", "Fe", "Cu"], "frac_coords": [[0.000, 0.500, 0.000], [0.500, 0.000, 0.000], [0.000, 0.000, 0.500], [0.500, 0.500, 0.500]], "formation_enthalpy_0k_kj_per_mol_atoms": 1, "e_tot_ev_per_atom": -3.766, "dos_at_fermi_per_ev_atom": 0.804}

***

{"formula": "Pm5YEr8", "functional": "PBE", "state": "optimized geometry", "cell": [[-4.790, 4.790, 5.025], [4.790, -4.790, 5.025], [4.790, 4.790, -5.025]], "species": ["Pm", "Pm", "Pm", "Pm", "Pm", "Y", "Er", "Er", "Er", "Er", "Er", "Er", "Er", "Er"], "frac_coords": [[0.000, 0.000, 0.000], [0.310, 0.206, 0.675], [0.365, 0.690, 0.897], [0.532, 0.635, 0.325], [0.794, 0.468, 0.103], [0.750, 0.250, 0.500], [0.023, 0.768, 0.603], [0.074, 0.336, 0.914], [0.165, 0.420, 0.397], [0.232, 0.835, 0.254], [0.422, 0.160, 0.086], [0.580, 0.977, 0.746], [0.664, 0.578, 0.738], [0.840, 0.926, 0.262]], "formation_enthalpy_0k_kj_per_mol_atoms": 23, "e_tot_ev_per_atom": -4.527, "dos_at_fermi_per_ev_atom": 1.384}

***

{"formula": "AcPm2Ho2Er2", "functional": "PBE", "state": "optimized geometry", "cell": [[5.740, -2.561, 0.000], [5.740, 2.561, 0.000], [-1.192, 0.000, 8.012]], "species": ["Ac", "Pm", "Pm", "Ho", "Ho", "Er", "Er"], "frac_coords": [[0.000, 0.000, 0.000], [0.285, 0.285, 0.849], [0.715, 0.715, 0.151], [0.426, 0.426, 0.294], [0.574, 0.574, 0.706], [0.142, 0.142, 0.433], [0.858, 0.858, 0.567]], "formation_enthalpy_0k_kj_per_mol_atoms": 4, "e_tot_ev_per_atom": -4.511, "dos_at_fermi_per_ev_atom": 1.505}

***

{"formula": "Ce2DyCd5", "functional": "PBE", "state": "optimized geometry", "cell": [[-2.456, 2.456, 8.361], [2.456, -2.456, 8.361], [2.456, 2.456, -8.361]], "species": ["Ce", "Ce", "Dy", "Cd", "Cd", "Cd", "Cd", "Cd"], "frac_coords": [[0.240, 0.240, 0.000], [0.760, 0.760, 0.000], [0.500, 0.500, 0.000], [0.000, 0.000, 0.000], [0.116, 0.616, 0.500], [0.384, 0.884, 0.500], [0.616, 0.116, 0.500], [0.884, 0.384, 0.500]], "formation_enthalpy_0k_kj_per_mol_atoms": -20, "e_tot_ev_per_atom": -2.843, "dos_at_fermi_per_ev_atom": 1.857}

***

{"formula": "Tl2FeIr", "functional": "PBE", "state": "optimized geometry", "cell": [[1.656, 0.956, 8.922], [-1.656, 0.956, 8.922], [0.000, -1.912, 8.922]], "species": ["Tl", "Tl", "Fe", "Ir"], "frac_coords": [[0.000, 0.000, 0.000], [0.228, 0.228, 0.228], [0.753, 0.753, 0.753], [0.477, 0.477, 0.477]], "formation_enthalpy_0k_kj_per_mol_atoms": 47, "e_tot_ev_per_atom": -5.022, "dos_at_fermi_per_ev_atom": 0.554}

***

{"formula": "Zr2ZnSi", "functional": "PBE", "state": "optimized geometry", "cell": [[3.042, -3.951, 0.000], [3.042, 3.951, 0.000], [0.000, 0.000, 3.009]], "species": ["Zr", "Zr", "Zn", "Si"], "frac_coords": [[0.000, 0.500, 0.000], [0.500, 0.000, 0.000], [0.000, 0.000, 0.500], [0.500, 0.500, 0.500]], "formation_energy_uncorrected_ev_per_atom": -0.44, "e_tot_ev_per_atom": -6.383, "dos_at_fermi_per_ev_atom": 0.621}

***

{"formula": "AlPN2", "functional": "PBE", "state": "optimized geometry", "cell": [[1.470, 0.849, 5.376], [-1.470, 0.849, 5.376], [0.000, -1.697, 5.376]], "species": ["Al", "P", "N", "N"], "frac_coords": [[0.000, 0.000, 0.000], [0.500, 0.500, 0.500], [0.398, 0.398, 0.398], [0.602, 0.602, 0.602]], "formation_energy_uncorrected_ev_per_atom": -0.36, "e_tot_ev_per_atom": -6.806, "dos_at_fermi_per_ev_atom": 0.000}

***

{"formula": "Hf5OsRh4", "functional": "PBE", "state": "optimized geometry", "cell": [[3.260, 0.000, 0.000], [0.000, 3.260, 0.000], [0.000, 0.000, 16.379]], "species": ["Hf", "Hf", "Hf", "Hf", "Hf", "Os", "Rh", "Rh", "Rh", "Rh"], "frac_coords": [[0.000, 0.000, 0.000], [0.000, 0.000, 0.200], [0.000, 0.000, 0.400], [0.000, 0.000, 0.600], [0.000, 0.000, 0.800], [0.500, 0.500, 0.500], [0.500, 0.500, 0.100], [0.500, 0.500, 0.300], [0.500, 0.500, 0.700], [0.500, 0.500, 0.900]], "formation_enthalpy_0k_kj_per_mol_atoms": -81, "e_tot_ev_per_atom": -9.879, "dos_at_fermi_per_ev_atom": 0.506}

***

{"formula": "CaTl5Hg6", "functional": "PBE", "state": "optimized geometry", "cell": [[5.069, 0.000, 0.000], [2.209, 7.927, 0.000], [0.010, -0.001, 8.388]], "species": ["Ca", "Tl", "Tl", "Tl", "Tl", "Tl", "Hg", "Hg", "Hg", "Hg", "Hg", "Hg"], "frac_coords": [[0.000, 0.000, 0.000], [0.000, 0.000, 0.500], [0.324, 0.341, 0.500], [0.327, 0.334, 0.000], [0.673, 0.666, 0.000], [0.676, 0.659, 0.500], [0.169, 0.674, 0.246], [0.169, 0.674, 0.754], [0.500, 0.000, 0.251], [0.500, 0.000, 0.749], [0.831, 0.326, 0.246], [0.831, 0.326, 0.754]], "formation_enthalpy_0k_kj_per_mol_atoms": -11, "e_tot_ev_per_atom": -1.419, "dos_at_fermi_per_ev_atom": 0.394}

***

{"formula": "La14AlIn", "functional": "PBE", "state": "optimized geometry", "cell": [[7.199, 0.000, 0.000], [0.000, 7.199, 0.000], [0.000, 0.000, 10.489]], "species": ["La", "La", "La", "La", "La", "La", "La", "La", "La", "La", "La", "La", "La", "La", "Al", "In"], "frac_coords": [[0.000, 0.000, 0.000], [0.000, 0.500, 0.000], [0.000, 0.500, 0.500], [0.247, 0.247, 0.261], [0.247, 0.247, 0.739], [0.247, 0.753, 0.261], [0.247, 0.753, 0.739], [0.500, 0.000, 0.000], [0.500, 0.000, 0.500], [0.500, 0.500, 0.000], [0.753, 0.247, 0.261], [0.753, 0.247, 0.739], [0.753, 0.753, 0.261], [0.753, 0.753, 0.739], [0.000, 0.000, 0.500], [0.500, 0.500, 0.500]], "formation_enthalpy_0k_kj_per_mol_atoms": -10, "e_tot_ev_per_atom": -4.819, "dos_at_fermi_per_ev_atom": 1.388}

***

{"formula": "K3SmAg2Cl9", "functional": "PBE", "state": "optimized geometry", "cell": [[7.463, 0.000, 0.000], [-3.732, 6.463, 0.000], [0.000, 0.000, 9.370]], "species": ["K", "K", "K", "Sm", "Ag", "Ag", "Cl", "Cl", "Cl", "Cl", "Cl", "Cl", "Cl", "Cl", "Cl"], "frac_coords": [[0.000, 0.000, 0.000], [0.333, 0.667, 0.729], [0.667, 0.333, 0.271], [0.000, 0.000, 0.500], [0.333, 0.667, 0.157], [0.667, 0.333, 0.843], [0.000, 0.500, 0.000], [0.166, 0.332, 0.328], [0.166, 0.834, 0.328], [0.332, 0.166, 0.672], [0.500, 0.000, 0.000], [0.500, 0.500, 0.000], [0.668, 0.834, 0.328], [0.834, 0.166, 0.672], [0.834, 0.668, 0.672]], "formation_energy_uncorrected_ev_per_atom": -1.51, "e_tot_ev_per_atom": -3.528, "dos_at_fermi_per_ev_atom": 0.478}

***

{"formula": "CaBe3Te", "functional": "PBE", "state": "optimized geometry", "cell": [[5.182, 0.000, 0.000], [0.000, 5.182, 0.000], [0.000, 0.000, 5.182]], "species": ["Ca", "Be", "Be", "Be", "Te"], "frac_coords": [[0.000, 0.000, 0.000], [0.000, 0.000, 0.500], [0.000, 0.500, 0.000], [0.500, 0.000, 0.000], [0.500, 0.500, 0.500]], "formation_energy_uncorrected_ev_per_atom": 1.80, "e_tot_ev_per_atom": -1.460, "dos_at_fermi_per_ev_atom": 0.459}

***

{"formula": "Sm5Y2Tm5", "functional": "PBE", "state": "optimized geometry", "cell": [[7.536, -2.514, 0.000], [7.536, 2.514, 0.000], [-5.038, 0.000, 10.098]], "species": ["Sm", "Sm", "Sm", "Sm", "Sm", "Y", "Y", "Tm", "Tm", "Tm", "Tm", "Tm"], "frac_coords": [[0.000, 0.000, 0.000], [0.085, 0.085, 0.750], [0.166, 0.166, 0.500], [0.834, 0.834, 0.500], [0.915, 0.915, 0.250], [0.417, 0.417, 0.752], [0.583, 0.583, 0.248], [0.250, 0.250, 0.248], [0.332, 0.332, 0.999], [0.500, 0.500, 0.500], [0.668, 0.668, 0.001], [0.750, 0.750, 0.752]], "formation_enthalpy_0k_kj_per_mol_atoms": 2, "e_tot_ev_per_atom": -4.884, "dos_at_fermi_per_ev_atom": 1.467}

***

{"formula": "Ho3TmPu3Te8", "functional": "PBE", "state": "optimized geometry", "cell": [[7.578, -4.362, 0.000], [7.578, 4.362, 0.000], [-5.055, 0.000, 7.163]], "species": ["Ho", "Ho", "Ho", "Tm", "Pu", "Pu", "Pu", "Te", "Te", "Te", "Te", "Te", "Te", "Te", "Te"], "frac_coords": [[0.000, 0.000, 0.000], [0.000, 0.500, 0.000], [0.500, 0.000, 0.000], [0.500, 0.500, 0.000], [0.000, 0.500, 0.500], [0.500, 0.000, 0.500], [0.500, 0.500, 0.500], [0.243, 0.750, 0.245], [0.248, 0.248, 0.244], [0.249, 0.249, 0.754], [0.250, 0.757, 0.755], [0.750, 0.243, 0.245], [0.751, 0.751, 0.246], [0.752, 0.752, 0.756], [0.757, 0.250, 0.755]], "formation_energy_uncorrected_ev_per_atom": -1.24, "e_tot_ev_per_atom": -7.000, "dos_at_fermi_per_ev_atom": 2.733}

***

{"formula": "Cs3InCl4", "functional": "PBE", "state": "optimized geometry", "cell": [[9.889, 0.000, 0.000], [0.000, 13.753, 0.000], [0.000, 0.000, 9.973]], "species": ["Cs", "Cs", "Cs", "Cs", "Cs", "Cs", "Cs", "Cs", "Cs", "Cs", "Cs", "Cs", "In", "In", "In", "In", "Cl", "Cl", "Cl", "Cl", "Cl", "Cl", "Cl", "Cl", "Cl", "Cl", "Cl", "Cl", "Cl", "Cl", "Cl", "Cl"], "frac_coords": [[0.000, 0.000, 0.249], [0.000, 0.000, 0.751], [0.000, 0.500, 0.249], [0.000, 0.500, 0.751], [0.243, 0.250, 0.000], [0.257, 0.750, 0.500], [0.500, 0.000, 0.251], [0.500, 0.000, 0.749], [0.500, 0.500, 0.251], [0.500, 0.500, 0.749], [0.743, 0.250, 0.500], [0.757, 0.750, 0.000], [0.250, 0.250, 0.500], [0.250, 0.750, 0.000], [0.750, 0.250, 0.000], [0.750, 0.750, 0.500], [0.051, 0.750, 0.205], [0.051, 0.750, 0.795], [0.249, 0.007, 0.500], [0.249, 0.493, 0.500], [0.251, 0.507, 0.000], [0.251, 0.993, 0.000], [0.449, 0.250, 0.295], [0.449, 0.250, 0.705], [0.551, 0.750, 0.295], [0.551, 0.750, 0.705], [0.749, 0.007, 0.000], [0.749, 0.493, 0.000], [0.751, 0.507, 0.500], [0.751, 0.993, 0.500], [0.949, 0.250, 0.205], [0.949, 0.250, 0.795]], "formation_energy_uncorrected_ev_per_atom": -1.68, "e_tot_ev_per_atom": -3.268, "dos_at_fermi_per_ev_atom": 0.000}

***

{"formula": "LaTaF2", "functional": "PBE", "state": "optimized geometry", "cell": [[1.587, 0.916, 7.923], [-1.587, 0.916, 7.923], [0.000, -1.833, 7.923]], "species": ["La", "Ta", "F", "F"], "frac_coords": [[0.000, 0.000, 0.000], [0.500, 0.500, 0.500], [0.410, 0.410, 0.410], [0.590, 0.590, 0.590]], "formation_energy_uncorrected_ev_per_atom": -1.70, "e_tot_ev_per_atom": -6.832, "dos_at_fermi_per_ev_atom": 0.699}

***

{"formula": "CdSn2Ge2Pt7", "functional": "PBE", "state": "optimized geometry", "cell": [[2.761, -2.765, 0.000], [2.761, 2.765, 0.000], [-2.698, 0.000, 15.660]], "species": ["Cd", "Sn", "Sn", "Ge", "Ge", "Pt", "Pt", "Pt", "Pt", "Pt", "Pt", "Pt"], "frac_coords": [[0.000, 0.000, 0.000], [0.213, 0.213, 0.427], [0.787, 0.787, 0.573], [0.384, 0.384, 0.761], [0.616, 0.616, 0.239], [0.068, 0.568, 0.139], [0.303, 0.303, 0.605], [0.432, 0.932, 0.861], [0.500, 0.500, 0.000], [0.568, 0.068, 0.139], [0.697, 0.697, 0.395], [0.932, 0.432, 0.861]], "formation_enthalpy_0k_kj_per_mol_atoms": -33, "e_tot_ev_per_atom": -5.377, "dos_at_fermi_per_ev_atom": 0.413}

***

{"formula": "Ba2PtRh", "functional": "PBE", "state": "optimized geometry", "cell": [[3.920, -2.262, 0.000], [3.920, 2.262, 0.000], [-2.527, 0.000, 8.535]], "species": ["Ba", "Ba", "Pt", "Rh"], "frac_coords": [[0.000, 0.000, 0.000], [0.154, 0.154, 0.478], [0.744, 0.744, 0.239], [0.410, 0.410, 0.239]], "formation_enthalpy_0k_kj_per_mol_atoms": -47, "e_tot_ev_per_atom": -4.794, "dos_at_fermi_per_ev_atom": 0.371}

***

{"formula": "Pu2Si2SnRh5", "functional": "PBE", "state": "optimized geometry", "cell": [[9.823, 0.000, 0.000], [0.000, 9.823, 0.000], [0.000, 0.000, 3.566]], "species": ["Pu", "Pu", "Pu", "Pu", "Si", "Si", "Si", "Si", "Sn", "Sn", "Rh", "Rh", "Rh", "Rh", "Rh", "Rh", "Rh", "Rh", "Rh", "Rh"], "frac_coords": [[0.176, 0.324, 0.000], [0.324, 0.824, 0.000], [0.676, 0.176, 0.000], [0.824, 0.676, 0.000], [0.122, 0.622, 0.000], [0.378, 0.122, 0.000], [0.622, 0.878, 0.000], [0.878, 0.378, 0.000], [0.000, 0.000, 0.000], [0.500, 0.500, 0.000], [0.000, 0.500, 0.500], [0.069, 0.783, 0.500], [0.217, 0.069, 0.500], [0.283, 0.569, 0.500], [0.431, 0.283, 0.500], [0.500, 0.000, 0.500], [0.569, 0.717, 0.500], [0.717, 0.431, 0.500], [0.783, 0.931, 0.500], [0.931, 0.217, 0.500]], "formation_energy_uncorrected_ev_per_atom": -0.70, "e_tot_ev_per_atom": -8.724, "dos_at_fermi_per_ev_atom": 2.885}

***

{"formula": "SmTm2Co", "functional": "PBE", "state": "optimized geometry", "cell": [[1.875, 1.083, 8.872], [-1.875, 1.083, 8.872], [0.000, -2.166, 8.872]], "species": ["Sm", "Tm", "Tm", "Co"], "frac_coords": [[0.000, 0.000, 0.000], [0.224, 0.224, 0.224], [0.447, 0.447, 0.447], [0.835, 0.835, 0.835]], "formation_enthalpy_0k_kj_per_mol_atoms": -3, "e_tot_ev_per_atom": -5.225, "dos_at_fermi_per_ev_atom": 1.152}